(1)
Density functional theory data (PBE) for a relaxed structure of CdTcW2.

Unit cell a=3.2621 b=3.2621 c=6.4032 alpha=90.00 beta=90.00 gamma=90.00
Last column: nearest neighbours and their distance in Å.
Fractional coordinates of all 4 atoms:
W1 0.0000 0.0000 0.9944  4 Tc 2.67, 4 W 2.71
W2 0.5000 0.5000 0.2167  4 W 2.71, 1 Tc 2.77, 4 Cd 2.95
Cd1 0.0000 0.0000 0.5041  4 Tc 2.92, 6 W 2.95-3.26, 4 Cd 3.26
Tc1 0.5000 0.5000 0.7848  5 W 2.67-2.77, 4 Cd 2.92

Calculated values
- ΔE_f: 159 kJ/mol of formula units
- Space-group type: P4mm (99)
- VASP energy: -8.886 eV per atom
- Mass density: 14.09 g/cm3
- Total magnetization: 0.0000 μB/atom

=====

(2)
Density functional theory data (PBE) for a relaxed structure of CdTcW2.

Unit cell a=2.8539 b=2.8539 c=8.2800 alpha=90.00 beta=90.00 gamma=90.00
Last column: nearest neighbours and their distance in Å.
Fractional coordinates of all 4 atoms:
W1 0.0000 0.0000 0.5290  4 Tc 2.72, 4 W 2.85
W2 0.0000 0.0000 0.9710  4 Tc 2.72, 4 W 2.85
Tc1 0.5000 0.5000 0.7500  8 W 2.72, 4 Tc 2.85
Cd1 0.5000 0.5000 0.2500  4 Cd 2.85, 8 W 3.07

Calculated values
- ΔE_f: 170 kJ/mol of formula units
- Space-group type: P4/mmm (123)
- VASP energy: -8.857 eV per atom
- Mass density: 14.23 g/cm3
- Total magnetization: 0.0000 μB/atom

=====

Among the records above, which one has the highest ΔE_f?
number 2

=====

Among the records above, which one has the highest VASP energy?
number 2

=====

Which of these has the highest VASP energy?
number 2